# GdGa4Tc, relaxed, DFT PBE
data_GdGa4Tc
_chemical_formula_sum 'Gd4 Ga16 Tc4'
_symmetry_space_group_name_H-M 'F -4 3 m'
_symmetry_Int_Tables_number 216
_symmetry_space_group_name_Hall 'F -4 2 3'
_cell_length_a 7.4830
_cell_length_b 7.4830
_cell_length_c 7.4830
_cell_angle_alpha 90.00
_cell_angle_beta 90.00
_cell_angle_gamma 90.00
loop_
_atom_site_label
_atom_site_type_symbol
_atom_site_fract_x
_atom_site_fract_y
_atom_site_fract_z
_atom_site_occupancy
Gd1 Gd 0.0000 0.0000 0.0000 1
Ga1 Ga 0.1247 0.1247 0.3753 1
Tc1 Tc 0.2500 0.2500 0.7500 1
# Fermi-level density of states: 24.94 states/eV per cell
# DFT formation energy: -0.08 eV/atom